This record from the Alexandria database describes a relaxed Cs2BaSnBr6 crystal. The functional is PBE-GGA.

Geometry as POSCAR:
```
Cs2BaSnBr6
1.0
8.3738 0.0000 0.0000
0.0000 8.7052 0.0000
-8.2483 0.0000 12.0296
Cs Ba Sn Br
4 2 2 12
Direct
0.2281 0.0628 0.2488
0.2281 0.4372 0.7488
0.7719 0.5628 0.2512
0.7719 0.9372 0.7512
0.5000 0.0000 0.0000
0.5000 0.5000 0.5000
0.0000 0.0000 0.5000
0.0000 0.5000 0.0000
0.1443 0.2136 0.9517
0.1443 0.2864 0.4517
0.2421 0.6968 0.9536
0.2421 0.8032 0.4536
0.3310 0.0250 0.7401
0.3310 0.4750 0.2401
0.6690 0.5250 0.7599
0.6690 0.9750 0.2599
0.7579 0.1968 0.5464
0.7579 0.3032 0.0464
0.8557 0.7136 0.5483
0.8557 0.7864 0.0483
```

ΔE_f (raw): -37.30 kcal/mol of atoms
energy relative to the lowest polymorph listed for this composition: 0.00 eV per formula unit
space group: P2_1/c, No. 14